# PBEsol Hf5Sc5Ge6, relaxed
# * ΔH_f (0 K): -12.90 eV/f.u.
data_Hf5Sc5Ge6
_chemical_formula_sum 'Hf10 Sc10 Ge12'
_space_group_name_H-M_alt 'A m m 2'
_space_group_IT_number 38
_cell_length_a 5.568
_cell_length_b 13.607
_cell_length_c 7.886
_cell_angle_alpha 90.00
_cell_angle_beta 90.00
_cell_angle_gamma 90.00
loop_
_space_group_symop_operation_xyz
'x,y,z'
'-x,-y,z'
'-x,y,z'
'x,-y,z'
'x,y+1/2,z+1/2'
'-x,-y+1/2,z+1/2'
'-x,y+1/2,z+1/2'
'x,-y+1/2,z+1/2'
loop_
_atom_site_label
_atom_site_type_symbol
_atom_site_fract_x
_atom_site_fract_y
_atom_site_fract_z
Hf1 Hf 0.000 0.000 0.000
Hf2 Hf 0.000 0.123 0.366
Hf3 Hf 0.500 0.123 0.120
Sc1 Sc 0.249 0.167 0.745
Sc2 Sc 0.500 0.000 0.491
Ge1 Ge 0.000 0.000 0.634
Ge2 Ge 0.000 0.195 0.049
Ge3 Ge 0.500 0.000 0.854
Ge4 Ge 0.500 0.195 0.440

# PBEsol Hf2ScTaGe, relaxed
# * ΔH_f (0 K): 2.39 eV/f.u.
data_Hf2ScTaGe
_chemical_formula_sum 'Hf2 Sc1 Ta1 Ge1'
_space_group_name_H-M_alt 'P 4/m m m'
_space_group_IT_number 123
_space_group_name_Hall '-P 4 2'
_cell_length_a 4.928
_cell_length_b 4.928
_cell_length_c 4.780
_cell_angle_alpha 90.00
_cell_angle_beta 90.00
_cell_angle_gamma 90.00
loop_
_atom_site_label
_atom_site_type_symbol
_atom_site_fract_x
_atom_site_fract_y
_atom_site_fract_z
Hf1 Hf 0.000 0.500 0.000
Sc1 Sc 0.000 0.000 0.500
Ta1 Ta 0.500 0.500 0.500
Ge1 Ge 0.500 0.500 0.000

# PBEsol SrHfSi2Ge, relaxed
# * formation energy from raw total energies: 0.52 eV/atom
data_SrHfSi2Ge
_chemical_formula_sum 'Sr1 Hf1 Si2 Ge1'
_space_group_name_H-M_alt 'P 4/m m m'
_space_group_IT_number 123
_space_group_name_Hall '-P 4 2'
_cell_length_a 4.936
_cell_length_b 4.936
_cell_length_c 5.002
_cell_angle_alpha 90.00
_cell_angle_beta 90.00
_cell_angle_gamma 90.00
loop_
_atom_site_label
_atom_site_type_symbol
_atom_site_fract_x
_atom_site_fract_y
_atom_site_fract_z
Sr1 Sr 0.000 0.000 0.000
Hf1 Hf 0.500 0.500 0.000
Si1 Si 0.000 0.500 0.500
Ge1 Ge 0.500 0.500 0.500

# PBEsol HfSn3Ge, relaxed
# * ΔH_f (0 K): 4.12 eV/f.u.
data_HfSn3Ge
_chemical_formula_sum 'Hf1 Sn3 Ge1'
_space_group_name_H-M_alt 'P m -3 m'
_space_group_IT_number 221
_space_group_name_Hall '-P 4 2 3'
_cell_length_a 5.152
_cell_length_b 5.152
_cell_length_c 5.152
_cell_angle_alpha 90.00
_cell_angle_beta 90.00
_cell_angle_gamma 90.00
loop_
_atom_site_label
_atom_site_type_symbol
_atom_site_fract_x
_atom_site_fract_y
_atom_site_fract_z
Hf1 Hf 0.000 0.000 0.000
Sn1 Sn 0.000 0.500 0.500
Ge1 Ge 0.500 0.500 0.500